CdGe2P3: relaxed, PBE-GGA.

a = 6.815 Å, b = 6.815 Å, c = 6.738 Å
α = 93.57°, β = 93.57°, γ = 120.49°
Fractional coordinates of all 12 atoms:
Cd  0.925  0.101  0.016
Ge  0.412  0.584  0.504
P  0.427  0.898  0.363
P  0.542  0.705  0.861
Ge  0.740  0.255  0.528
Ge  0.255  0.740  0.028
Ge  0.584  0.412  0.004
Cd  0.101  0.925  0.516
P  0.053  0.253  0.399
P  0.253  0.053  0.899
P  0.898  0.427  0.863
P  0.705  0.542  0.361

formation energy	0.27	kcal/mol of atoms
final energy	-4.385	eV per atom
space-group type	No. 9
density	4352	kg/m³

***

Cd2GeP: relaxed, PBE-GGA.

a = 7.685 Å, b = 7.685 Å, c = 6.150 Å
α = 51.33°, β = 51.33°, γ = 90.00°
Fractional coordinates of all 8 atoms:
Cd  0.375  0.406  0.750
P  0.500  0.500  0.000
Cd  0.594  0.125  0.250
P  0.250  0.750  0.500
Ge  0.000  0.000  0.000
Ge  0.750  0.250  0.500
Cd  0.156  0.625  0.250
Cd  0.875  0.844  0.750

formation energy	5.93	kcal/mol of atoms
final energy	-2.707	eV per atom
space-group type	No. 122
density	6413	kg/m³

***

CdGe2P2: relaxed, PBE-GGA.

a = 4.216 Å, b = 4.216 Å, c = 6.909 Å
α = 72.23°, β = 72.23°, γ = 90.00°
Fractional coordinates of all 5 atoms:
P  0.250  0.750  0.500
Ge  0.635  0.635  0.730
P  0.750  0.250  0.500
Cd  0.000  0.000  0.000
Ge  0.365  0.365  0.270

formation energy	8.59	kcal/mol of atoms
final energy	-3.821	eV per atom
space-group type	No. 139
density	4791	kg/m³

***

CdGeP: relaxed, PBE-GGA.

a = 3.681 Å, b = 3.681 Å, c = 5.352 Å
α = 90.00°, β = 90.00°, γ = 120.00°
Fractional coordinates of all 3 atoms:
Ge  0.333  0.667  0.608
Cd  0.000  0.000  0.013
P  0.667  0.333  0.379

formation energy	1.71	kcal/mol of atoms
final energy	-3.573	eV per atom
space-group type	No. 156
density	5711	kg/m³

***

CdGe6P8: relaxed, PBE-GGA.

a = 6.742 Å, b = 6.742 Å, c = 6.742 Å
α = 94.24°, β = 94.24°, γ = 94.24°
Fractional coordinates of all 15 atoms:
P  0.851  0.368  0.146
P  0.146  0.851  0.368
Ge  0.823  0.670  0.367
Ge  0.330  0.633  0.177
Ge  0.670  0.367  0.823
P  0.854  0.149  0.632
P  0.368  0.146  0.851
Ge  0.633  0.177  0.330
Ge  0.367  0.823  0.670
P  0.632  0.854  0.149
P  0.695  0.695  0.695
P  0.149  0.632  0.854
Ge  0.177  0.330  0.633
Cd  0.000  0.000  0.000
P  0.305  0.305  0.305

formation energy	3.37	kcal/mol of atoms
final energy	-4.647	eV per atom
space-group type	No. 148
density	4350	kg/m³

***

CdGe2P2: relaxed, PBE-GGA.

a = 7.522 Å, b = 7.522 Å, c = 3.518 Å
α = 90.00°, β = 90.00°, γ = 90.00°
Fractional coordinates of all 10 atoms:
P  0.180  0.320  0.000
P  0.320  0.820  0.000
Ge  0.158  0.658  0.500
P  0.680  0.180  0.000
P  0.820  0.680  0.000
Cd  0.000  0.000  0.000
Ge  0.658  0.842  0.500
Ge  0.342  0.158  0.500
Ge  0.842  0.342  0.500
Cd  0.500  0.500  0.000

formation energy	7.15	kcal/mol of atoms
final energy	-3.884	eV per atom
space-group type	No. 127
density	5333	kg/m³

***

Cd2GeP4: relaxed, PBE-GGA.

a = 4.649 Å, b = 4.649 Å, c = 8.412 Å
α = 73.96°, β = 73.96°, γ = 90.00°
Fractional coordinates of all 7 atoms:
Cd  0.605  0.605  0.790
P  0.764  0.764  0.472
P  0.500  0.000  0.000
Ge  0.000  0.000  0.000
P  0.000  0.500  0.000
P  0.236  0.236  0.528
Cd  0.395  0.395  0.210

formation energy	16.54	kcal/mol of atoms
final energy	-3.295	eV per atom
space-group type	No. 139
density	4180	kg/m³

***

Cd3GeP: relaxed, PBE-GGA.

a = 5.140 Å, b = 5.140 Å, c = 5.140 Å
α = 90.00°, β = 90.00°, γ = 90.00°
Last column: magnetic moment on the atom in μB.
Fractional coordinates of all 5 atoms:
Ge  0.000  0.000  0.000  0.05
Cd  0.500  0.000  0.000  0.01
P  0.500  0.500  0.500  0.47
Cd  0.000  0.500  0.000  0.01
Cd  0.000  0.000  0.500  -0.03

formation energy	14.95	kcal/mol of atoms
final energy	-1.906	eV per atom
space-group type	No. 221
density	5392	kg/m³

***

Cd2GeP: relaxed, PBE-GGA.

a = 4.876 Å, b = 4.876 Å, c = 4.876 Å
α = 60.00°, β = 60.00°, γ = 60.00°
Fractional coordinates of all 4 atoms:
P  0.000  0.000  0.000
Cd  0.250  0.250  0.250
Ge  0.500  0.500  0.500
Cd  0.750  0.750  0.750

formation energy	9.16	kcal/mol of atoms
final energy	-2.567	eV per atom
space-group type	No. 225
density	6654	kg/m³

***

CdGeP: relaxed, PBE-GGA.

a = 6.255 Å, b = 2.666 Å, c = 8.391 Å
α = 99.14°, β = 111.88°, γ = 90.00°
Fractional coordinates of all 6 atoms:
Ge  0.266  0.500  0.000
P  0.878  0.378  0.757
P  0.122  0.622  0.243
Cd  0.690  0.190  0.379
Cd  0.310  0.810  0.621
Ge  0.734  0.500  0.000

formation energy	5.95	kcal/mol of atoms
final energy	-3.390	eV per atom
space-group type	No. 71
density	5609	kg/m³

***

CdGe3P: relaxed, PBE-GGA.

a = 4.865 Å, b = 4.865 Å, c = 4.865 Å
α = 90.00°, β = 90.00°, γ = 90.00°
Fractional coordinates of all 5 atoms:
Ge  0.000  0.500  0.000
Ge  0.000  0.000  0.500
Ge  0.500  0.000  0.000
Cd  0.500  0.500  0.500
P  0.000  0.000  0.000

formation energy	12.81	kcal/mol of atoms
final energy	-3.480	eV per atom
space-group type	No. 221
density	5211	kg/m³

***

CdGe2P4: relaxed, PBE-GGA.

a = 4.841 Å, b = 4.841 Å, c = 7.732 Å
α = 71.76°, β = 71.76°, γ = 90.00°
Fractional coordinates of all 7 atoms:
P  0.760  0.760  0.480
P  0.500  0.000  0.000
Ge  0.596  0.596  0.809
Cd  0.000  0.000  0.000
Ge  0.404  0.404  0.191
P  0.000  0.500  0.000
P  0.240  0.240  0.520

formation energy	17.11	kcal/mol of atoms
final energy	-3.799	eV per atom
space-group type	No. 139
density	3900	kg/m³

***

CdGe3P: relaxed, PBE-GGA.

a = 5.087 Å, b = 5.087 Å, c = 5.087 Å
α = 90.00°, β = 90.00°, γ = 90.00°
Fractional coordinates of all 5 atoms:
P  0.500  0.500  0.500
Ge  0.000  0.500  0.000
Ge  0.000  0.000  0.500
Ge  0.500  0.000  0.000
Cd  0.000  0.000  0.000

formation energy	26.11	kcal/mol of atoms
final energy	-2.903	eV per atom
space-group type	No. 221
density	4557	kg/m³

***

CdGePRuPt: relaxed, PBE-GGA.

a = 5.040 Å, b = 3.039 Å, c = 11.264 Å
α = 90.00°, β = 98.50°, γ = 90.00°
Fractional coordinates of all 10 atoms:
Cd  0.265  0.000  0.714
Ge  0.894  0.000  0.358
Pt  0.733  0.000  0.138
Pt  0.733  0.500  0.638
Ru  0.210  0.500  0.488
Cd  0.265  0.500  0.214
P  0.550  0.500  0.978
P  0.550  0.000  0.478
Ge  0.894  0.500  0.858
Ru  0.210  0.000  0.988

formation energy	-4.62	kcal/mol of atoms
final energy	-5.452	eV per atom
space-group type	No. 8
density	9969	kg/m³

***

CdGePRuPt: relaxed, PBE-GGA.

a = 3.116 Å, b = 5.255 Å, c = 6.276 Å
α = 113.88°, β = 89.97°, γ = 107.00°
Fractional coordinates of all 5 atoms:
Pt  0.607  0.503  0.889
Ge  0.095  0.478  0.571
Ru  0.949  0.188  0.138
Cd  0.272  0.834  0.304
P  0.369  0.024  0.846

formation energy	-3.31	kcal/mol of atoms
final energy	-5.395	eV per atom
space-group type	No. 1
density	9551	kg/m³

***

CdGePRuPt: relaxed, PBE-GGA.

a = 3.925 Å, b = 3.399 Å, c = 6.338 Å
α = 90.00°, β = 93.37°, γ = 90.00°
Fractional coordinates of all 5 atoms:
P  0.954  0.000  0.737
Ge  0.437  0.000  0.097
Cd  0.470  0.500  0.550
Ru  0.917  0.500  0.972
Pt  0.970  0.000  0.364

formation energy	-4.02	kcal/mol of atoms
final energy	-5.426	eV per atom
space-group type	No. 6
density	10074	kg/m³

***

CdGePRuPt: relaxed, PBE-GGA.

a = 5.493 Å, b = 3.570 Å, c = 10.698 Å
α = 90.00°, β = 120.73°, γ = 90.00°
Fractional coordinates of all 10 atoms:
Cd  0.723  0.000  0.470
Pt  0.228  0.500  0.978
Pt  0.228  0.000  0.478
P  0.951  0.500  0.724
Ge  0.452  0.000  0.157
Ru  0.237  0.000  0.758
P  0.951  0.000  0.224
Ge  0.452  0.500  0.657
Cd  0.723  0.500  0.970
Ru  0.237  0.500  0.258

formation energy	-5.44	kcal/mol of atoms
final energy	-5.488	eV per atom
space-group type	No. 8
density	9433	kg/m³

***

CdGePRuPt: relaxed, PBE-GGA.

a = 4.879 Å, b = 2.963 Å, c = 6.687 Å
α = 90.00°, β = 105.57°, γ = 90.00°
Fractional coordinates of all 5 atoms:
Ru  0.826  0.500  0.275
Cd  0.326  0.000  0.223
Ge  0.133  0.000  0.581
Pt  0.669  0.000  0.662
P  0.766  0.000  0.008

formation energy	-3.52	kcal/mol of atoms
final energy	-5.404	eV per atom
space-group type	No. 6
density	9132	kg/m³

***

CdGePRuPt: relaxed, PBE-GGA.

a = 5.526 Å, b = 3.449 Å, c = 10.603 Å
α = 90.00°, β = 119.87°, γ = 90.00°
Fractional coordinates of all 10 atoms:
Ge  0.616  0.000  0.528
Cd  0.787  0.500  0.779
Pt  0.271  0.000  0.261
Cd  0.787  0.000  0.279
P  0.101  0.000  0.584
Ru  0.253  0.000  0.987
Ru  0.253  0.500  0.487
P  0.101  0.500  0.084
Ge  0.616  0.500  0.028
Pt  0.271  0.500  0.761

formation energy	-4.59	kcal/mol of atoms
final energy	-5.451	eV per atom
space-group type	No. 8
density	9707	kg/m³

***

CdGePRuPt: relaxed, PBE-GGA.

a = 5.344 Å, b = 3.052 Å, c = 5.727 Å
α = 90.00°, β = 113.91°, γ = 90.00°
Fractional coordinates of all 5 atoms:
Ge  0.344  0.000  0.862
Cd  0.947  0.000  0.220
Ru  0.466  0.500  0.246
Pt  0.933  0.500  0.749
P  0.552  0.000  0.575

formation energy	-4.78	kcal/mol of atoms
final energy	-5.459	eV per atom
space-group type	No. 6
density	9960	kg/m³